Entry from the Alexandria database: crystalline FeReTc at its relaxed geometry (PBE).

```
data_FeReTc
_cell_length_a 2.691
_cell_length_b 2.691
_cell_length_c 11.099
_cell_angle_alpha 90.00
_cell_angle_beta 90.00
_cell_angle_gamma 90.00
_space_group_name_H-M_alt 'I 4 m m'
_space_group_IT_number 107
_space_group_name_Hall 'I 4 -2'
loop_
_atom_site_label
_atom_site_fract_x
_atom_site_fract_y
_atom_site_fract_z
Fe1 0.000 0.000 0.000
Re1 0.000 0.000 0.342
Tc1 0.000 0.000 0.658
```

## Properties
Its energy above the most stable polymorph in this dataset is 0.091 eV/atom. The formation enthalpy at 0 K is 0.34 eV/f.u.